No. 1
Density functional theory data (PBE) for an optimized crystal structure of MnCoOs.

Cell and atoms, written as POSCAR:
```
MnCoOs
1.0
2.614 0.000 0.000
-1.307 2.264 0.000
0.000 0.000 6.215
Mn Co Os
1 1 1
Direct
0.000 0.000 0.000 Mn
0.333 0.667 0.682 Co
0.667 0.333 0.332 Os
```

- Energy above the most stable polymorph in this dataset: 0.094 eV per atom
- Space group: P3m1 (156)
- E_tot: -8.990 eV/atom
- E_form: 0.179 eV/atom

=====

No. 2
Density functional theory data (PBE) for an optimized crystal structure of Y4HgTe2P.

Cell and atoms, written as POSCAR:
```
Y4HgTe2P
1.0
7.414 0.000 0.000
0.000 4.154 0.000
-2.344 0.000 7.171
Y Hg Te P
4 1 2 1
Direct
0.218 0.000 0.226 Y
0.231 0.500 0.758 Y
0.769 0.500 0.242 Y
0.782 0.000 0.774 Y
0.000 0.000 0.500 Hg
0.500 0.000 0.000 Te
0.500 0.500 0.500 Te
0.000 0.500 0.000 P
```

- Space group: P2/m (10)
- E_tot: -5.917 eV/atom

=====

No. 3
Density functional theory data (PBE) for an optimized crystal structure of Er2UAgS6.

Cell and atoms, written as POSCAR:
```
Er2UAgS6
1.0
6.258 0.000 0.000
0.000 6.258 0.000
0.000 0.000 6.652
Er U Ag S
2 1 1 6
Direct
0.000 0.500 0.000 Er
0.500 0.000 0.000 Er
0.000 0.000 0.603 U
0.500 0.500 0.519 Ag
0.000 0.000 0.204 S
0.257 0.257 0.769 S
0.257 0.743 0.769 S
0.500 0.500 0.161 S
0.743 0.257 0.769 S
0.743 0.743 0.769 S
```

- Space group: P4mm (99)
- E_tot: -5.874 eV/atom

=====

No. 4
Density functional theory data (PBE) for an optimized crystal structure of FeHg2PH.

Cell and atoms, written as POSCAR:
```
FeHg2PH
1.0
5.121 0.000 0.000
0.000 5.121 0.000
0.000 0.000 3.151
Fe Hg P H
1 2 1 1
Direct
0.000 0.000 0.000 Fe
0.000 0.500 0.500 Hg
0.500 0.000 0.500 Hg
0.500 0.500 0.000 P
0.500 0.500 0.500 H
```

- Space group: P4/mmm (123)
- E_tot: -2.844 eV/atom

=====

| no. | N(E_F) (states/eV/f.u.) |
| --- | --- |
| 1 | 3.7 |
| 2 | 5.3 |
| 3 | 5.9 |
| 4 | 4.0 |